Record 1
The following is a GGA-PBE calculation of a relaxed In5Hg2I5 crystal, from the Alexandria database.

Summary:
V = 517.3 Å³/f.u.
magnetic moment = 0.00 μB/cell
energy relative to the elements, uncorrected = -0.348 eV per atom
crystal system = tetragonal

abc: 8.8681 8.8681 8.8681
angles: 103.59 103.59 122.01
Last column: nearest neighbours and their distance in Å.
Fractional positions:
1 In 0.6879 0.9701 0.7179  2 Hg 3.19-3.24, 3 I 3.30-3.31
2 In 0.2522 0.9701 0.2821  2 Hg 3.19-3.24, 3 I 3.30-3.31
3 In 0.9701 0.6879 0.7179  2 Hg 3.19-3.24, 3 I 3.30-3.31
4 In 0.5492 0.5492 0.0000  5 I 3.47-3.83
5 In 0.9701 0.2522 0.2821  2 Hg 3.19-3.24, 3 I 3.30-3.31
6 Hg 0.2239 0.7239 0.5000  4 In 3.19-3.24
7 Hg 0.7239 0.2239 0.5000  4 In 3.19-3.24
8 I 0.9127 0.5006 0.0000  3 In 3.31-3.47
9 I 0.5006 0.9127 0.0000  3 In 3.31-3.47
10 I 0.5006 0.5006 0.5879  3 In 3.31-3.47
11 I 0.9127 0.9127 0.4121  3 In 3.31-3.47
12 I 0.1034 0.1034 0.0000  4 In 3.30

Record 2
The following is a GGA-PBE calculation of a relaxed In2Hg2I7 crystal, from the Alexandria database.

Summary:
density of states at the Fermi level = 3.389 states/eV per cell
V = 485.8 Å³/f.u.
magnetic moment = 0.00 μB/cell
energy relative to the elements, uncorrected = -0.320 eV per atom
ΔE to the lowest computed polymorph = 0.000 eV per atom
crystal system = monoclinic

abc: 7.9118 8.0778 7.9118
angles: 84.85 103.81 84.85
Last column: nearest neighbours and their distance in Å.
Fractional positions:
1 In 0.6894 0.6183 0.6894  4 I 2.77-3.04
2 In 0.3106 0.3817 0.3106  4 I 2.77-3.04
3 Hg 0.8836 0.0000 0.1164  1 Hg 2.90
4 Hg 0.1164 0.0000 0.8836  1 Hg 2.90
5 I 0.1084 0.2042 0.4867  1 In 2.77
6 I 0.5133 0.7958 0.8916  1 In 2.77
7 I 0.8916 0.7958 0.5133  1 In 2.77
8 I 0.4867 0.2042 0.1084  1 In 2.77
9 I 0.0000 0.5000 0.0000  2 In 3.04
10 I 0.3627 0.7132 0.3627  1 In 2.80
11 I 0.6373 0.2868 0.6373  1 In 2.80

Record 3
The following is a GGA-PBE calculation of a relaxed In2Hg2I7 crystal, from the Alexandria database.

Summary:
density of states at the Fermi level = 4.258 states/eV per cell
V = 542.0 Å³/f.u.
magnetic moment = 0.00 μB/cell
energy relative to the elements, uncorrected = -0.286 eV per atom
ΔE to the lowest computed polymorph = 0.034 eV per atom
crystal system = monoclinic

abc: 7.4993 8.6764 8.6764
angles: 102.21 96.76 96.76
Last column: nearest neighbours and their distance in Å.
Fractional positions:
1 In 0.0000 0.3048 0.6952  6 I 3.26-3.42
2 In 0.0000 0.6952 0.3048  6 I 3.26-3.42
3 Hg 0.4025 0.2458 0.2458  4 I 2.82-2.91
4 Hg 0.5975 0.7542 0.7542  4 I 2.82-2.91
5 I 0.7842 0.9215 0.5615  1 Hg 2.82
6 I 0.2158 0.4385 0.0785  1 Hg 2.82
7 I 0.2158 0.0785 0.4385  1 Hg 2.82
8 I 0.7842 0.5615 0.9215  1 Hg 2.82
9 I 0.5000 0.0000 0.0000  2 Hg 2.91
10 I 0.2376 0.6020 0.6020  1 Hg 2.89
11 I 0.7624 0.3980 0.3980  1 Hg 2.89

Record 4
The following is a GGA-PBE calculation of a relaxed In6HgI8 crystal, from the Alexandria database.

Summary:
V = 627.4 Å³/f.u.
magnetic moment = 0.00 μB/cell
energy relative to the elements, uncorrected = -0.394 eV per atom
crystal system = trigonal

abc: 10.4420 10.4420 8.9715
angles: 54.41 54.41 60.00
Last column: nearest neighbours and their distance in Å.
Fractional positions:
1 In 0.9532 0.5391 0.2103  6 I 3.38-3.73
2 In 0.7026 0.0468 0.7897  6 I 3.38-3.73
3 In 0.4609 0.7026 0.7897  6 I 3.38-3.73
4 In 0.5391 0.2974 0.2103  6 I 3.38-3.73
5 In 0.2974 0.9532 0.2103  6 I 3.38-3.73
6 In 0.0468 0.4609 0.7897  6 I 3.38-3.73
7 Hg 0.0000 0.0000 0.0000  6 I 3.09
8 I 0.8429 0.3287 0.7340  1 Hg 3.09, 1 In 3.42
9 I 0.9055 0.1571 0.2660  1 Hg 3.09, 1 In 3.42
10 I 0.6713 0.9055 0.2660  1 Hg 3.09, 1 In 3.42
11 I 0.3337 0.3337 0.9989  6 In 3.38-3.73
12 I 0.6663 0.6663 0.0011  6 In 3.38-3.73
13 I 0.3287 0.0945 0.7340  1 Hg 3.09, 1 In 3.42
14 I 0.0945 0.8429 0.7340  1 Hg 3.09, 1 In 3.42
15 I 0.1571 0.6713 0.2660  1 Hg 3.09, 1 In 3.42

Record 5
The following is a GGA-PBE calculation of a relaxed InHgI crystal, from the Alexandria database.

Summary:
density of states at the Fermi level = 0.009 states/eV per cell
V = 129.1 Å³/f.u.
magnetic moment = 0.00 μB/cell
energy relative to the elements, uncorrected = -0.219 eV per atom
ΔE to the lowest computed polymorph = 0.065 eV per atom
crystal system = monoclinic

abc: 4.3991 4.3940 15.6372
angles: 98.03 90.00 120.04
Last column: nearest neighbours and their distance in Å.
Fractional positions:
1 In 0.8055 0.6109 0.9164  3 I 3.17
2 In 0.1945 0.3891 0.0836  3 I 3.17
3 Hg 0.6417 0.2835 0.4249  3 Hg 3.43-3.44
4 Hg 0.3583 0.7165 0.5751  3 Hg 3.43-3.44
5 I 0.9017 0.8035 0.2067  3 In 3.17
6 I 0.0983 0.1965 0.7933  3 In 3.17

Record 6
The following is a GGA-PBE calculation of a relaxed InHg3I crystal, from the Alexandria database.

Summary:
V = 195.4 Å³/f.u.
magnetic moment = 0.00 μB/cell
energy relative to the elements, uncorrected = -0.155 eV per atom
ΔE to the lowest computed polymorph = 0.000 eV per atom
crystal system = monoclinic

abc: 4.8001 9.8889 9.4815
angles: 119.75 90.00 90.00
Last column: nearest neighbours and their distance in Å.
Fractional positions:
1 In 0.2500 0.7727 0.8147  3 I 3.27-3.28, 4 Hg 3.31-3.45
2 In 0.7500 0.2273 0.1853  3 I 3.27-3.28, 4 Hg 3.31-3.45
3 Hg 0.7500 0.4842 0.6530  4 Hg 3.26-3.49, 2 In 3.45
4 Hg 0.2500 0.2078 0.4146  6 Hg 3.29-3.49, 2 In 3.31
5 Hg 0.7500 0.1354 0.6084  6 Hg 3.26-3.42
6 Hg 0.7500 0.7922 0.5854  6 Hg 3.29-3.49, 2 In 3.31
7 Hg 0.2500 0.8646 0.3916  6 Hg 3.26-3.42
8 Hg 0.2500 0.5158 0.3470  4 Hg 3.26-3.49, 2 In 3.45
9 I 0.2500 0.1427 0.9203  3 In 3.27-3.28
10 I 0.7500 0.8573 0.0797  3 In 3.27-3.28

Record 7
The following is a GGA-PBE calculation of a relaxed In2Hg7I crystal, from the Alexandria database.

Summary:
density of states at the Fermi level = 2.837 states/eV per cell
V = 321.2 Å³/f.u.
magnetic moment = 0.00 μB/cell
energy relative to the elements, uncorrected = -0.036 eV per atom
crystal system = triclinic

abc: 3.8419 8.4212 10.3869
angles: 107.11 90.19 90.27
Last column: nearest neighbours and their distance in Å.
Fractional positions:
1 In 0.4985 0.7659 0.1297  5 Hg 3.12-3.29, 2 I 3.31
2 In 0.5015 0.2341 0.8703  5 Hg 3.12-3.29, 2 I 3.31
3 Hg 0.9990 0.7559 0.3837  7 Hg 3.26-3.64, 2 In 3.28-3.29
4 Hg 0.0010 0.2441 0.6163  7 Hg 3.26-3.64, 2 In 3.28-3.29
5 Hg 0.5005 0.1081 0.3522  1 In 3.12, 4 Hg 3.20-3.42
6 Hg 0.4995 0.8919 0.6478  1 In 3.12, 4 Hg 3.20-3.42
7 Hg 0.5030 0.3988 0.1819  2 In 3.12-3.29, 2 Hg 3.16-3.42
8 Hg 0.4970 0.6012 0.8181  2 In 3.12-3.29, 2 Hg 3.16-3.42
9 Hg 0.5000 0.5000 0.5000  8 Hg 3.16-3.37
10 I 0.0000 0.0000 0.0000  4 In 3.31

Record 8
The following is a GGA-PBE calculation of a relaxed In4HgI5 crystal, from the Alexandria database.

Summary:
density of states at the Fermi level = 5.728 states/eV per cell
V = 424.7 Å³/f.u.
magnetic moment = 0.00 μB/cell
energy relative to the elements, uncorrected = -0.352 eV per atom
crystal system = orthorhombic

abc: 8.1880 11.2516 9.2205
angles: 90.00 90.00 90.00
Last column: nearest neighbours and their distance in Å.
Fractional positions:
1 In 0.9923 0.2414 0.0000  1 Hg 2.94, 5 I 3.16-3.27
2 In 0.4362 0.0000 0.2178  1 Hg 3.21, 3 I 3.26-3.45
3 In 0.4362 0.0000 0.7822  1 Hg 3.21, 3 I 3.26-3.45
4 In 0.9923 0.7586 0.0000  1 Hg 2.94, 5 I 3.16-3.27
5 In 0.0077 0.7414 0.5000  1 Hg 2.94, 5 I 3.16-3.27
6 In 0.5638 0.5000 0.2822  1 Hg 3.21, 3 I 3.26-3.45
7 In 0.5638 0.5000 0.7178  1 Hg 3.21, 3 I 3.26-3.45
8 In 0.0077 0.2586 0.5000  1 Hg 2.94, 5 I 3.16-3.27
9 Hg 0.1310 0.0000 0.0000  4 In 2.94-3.21
10 Hg 0.8690 0.5000 0.5000  4 In 2.94-3.21
11 I 0.7331 0.1899 0.2564  3 In 3.23-3.27
12 I 0.7331 0.1899 0.7436  3 In 3.23-3.27
13 I 0.1595 0.0000 0.5000  4 In 3.16-3.45
14 I 0.7331 0.8101 0.2564  3 In 3.23-3.27
15 I 0.7331 0.8101 0.7436  3 In 3.23-3.27
16 I 0.2669 0.6899 0.2436  3 In 3.23-3.27
17 I 0.2669 0.6899 0.7564  3 In 3.23-3.27
18 I 0.8405 0.5000 0.0000  4 In 3.16-3.45
19 I 0.2669 0.3101 0.7564  3 In 3.23-3.27
20 I 0.2669 0.3101 0.2436  3 In 3.23-3.27

Record 9
The following is a GGA-PBE calculation of a relaxed InHg2I crystal, from the Alexandria database.

Summary:
density of states at the Fermi level = 0.000 states/eV per cell
V = 136.2 Å³/f.u.
magnetic moment = 0.00 μB/cell
energy relative to the elements, uncorrected = -0.080 eV per atom
ΔE to the lowest computed polymorph = 0.146 eV per atom
crystal system = cubic

abc: 5.7756 5.7756 5.7756
angles: 60.00 60.00 60.00
Last column: nearest neighbours and their distance in Å.
Fractional positions:
1 I 0.5000 0.5000 0.5000  8 Hg 3.54
2 Hg 0.2500 0.2500 0.2500  4 I 3.54, 4 In 3.54
3 Hg 0.7500 0.7500 0.7500  4 I 3.54, 4 In 3.54
4 In 0.0000 0.0000 0.0000  8 Hg 3.54